# 1
ZrGaC2: relaxed, PBE-GGA.

Structure (extended XYZ):
```
8
Lattice="-2.816 2.816 3.236 2.816 -2.816 3.236 2.816 2.816 -3.236" Properties=species:S:1:pos:R:3 pbc="T T T"
Zr 0.000 0.000 0.000
Zr 0.000 2.816 1.618
Ga 2.816 0.000 1.618
Ga 0.000 0.000 3.236
C 1.408 -1.226 2.427
C 1.590 1.408 0.809
C 1.408 4.042 -0.809
C 1.226 1.408 4.045
```

Properties
- Volume: 103 Å³/cell
- DFT formation energy: 437 meV per atom


# 2
Zr5Ga2C: relaxed, PBE-GGA.

Structure (extended XYZ):
```
16
Lattice="2.378 -7.230 0.000 2.378 7.230 0.000 0.000 0.000 10.582" Properties=species:S:1:pos:R:3 pbc="T T T"
Zr 2.378 6.193 6.485
Zr 2.378 6.193 9.388
Zr 2.378 3.072 6.088
Zr 2.378 3.072 9.785
Zr 2.378 2.794 2.645
Zr 2.378 -2.794 7.936
Zr 2.378 -3.072 0.797
Zr 2.378 -3.072 4.494
Zr 2.378 -6.193 1.194
Zr 2.378 -6.193 4.097
Ga 2.378 5.411 1.400
Ga 2.378 5.411 3.891
Ga 2.378 -5.411 6.691
Ga 2.378 -5.411 9.182
C 2.378 4.477 7.936
C 2.378 -4.477 2.645
```

Properties
- Volume: 364 Å³/cell
- DFT formation energy: 2 meV per atom